Here is a geometry-optimized Na3BeO structure from Alexandria via LeMat-Bulk. Energies are from PBE.

Energy relative to the lowest polymorph listed for this composition: 0.000 eV/atom
Spin magnetization: 0.00 μB per formula unit
Density of states at the Fermi level: 0.886 states/eV per atom
E_form (uncorrected): -17.8 kJ/mol of atoms

Cell: 4.6378 4.6378 4.6378 Å, 90.00 90.00 90.00°
With the nearest neighbours (Å) after each atom.
Element x y z (fractional)
O: 0.0000 0.0000 0.0000  6 Na 2.32
Na: 0.0000 0.0000 0.5000  2 O 2.32
Na: 0.5000 0.0000 0.0000  2 O 2.32
Na: 0.0000 0.5000 0.0000  2 O 2.32
Be: 0.5000 0.5000 0.5000  12 Na 3.28